[1]
The following is a DFT calculation (GGA-PBE) of a geometry-optimized ScReNi2C structure.

V: 17.3 Å³ per atom
size of the total moment: 0.0 μB/cell
ΔE_f: 2.859 eV per atom
symmetry: P4/mmm (123)
excess energy over the best structure of this formula in the dataset: 1473 kJ/mol of formula units

Cell lengths 4.226, 4.834, 4.226 Å; angles 90.00, 90.00, 90.00 degrees
Fractional positions:
1 Sc 0.000 0.000 0.000
2 Re 0.000 0.500 0.000
3 Ni 0.500 0.000 0.000
4 Ni 0.000 0.000 0.500
5 C 0.500 0.500 0.500

[2]
The following is a DFT calculation (GGA-PBE) of a geometry-optimized ReNiC2Se structure.

total energy: -5.1922 eV per atom
V: 14.1 Å³ per atom
size of the total moment: 1.6 μB/cell
symmetry: P4/mmm (123)

Cell lengths 3.796, 4.906, 3.796 Å; angles 90.00, 90.00, 90.00 degrees
Last column: magnetic moment on the atom in μB.
Fractional positions:
1 Se 0.000 0.000 0.000  -0.01
2 C 0.000 0.000 0.500  -0.02
3 C 0.500 0.000 0.000  -0.02
4 Ni 0.500 0.500 0.500  0.66
5 Re 0.000 0.500 0.000  0.93

[3]
The following is a DFT calculation (GGA-PBE) of a geometry-optimized ReNiSnC2 structure.

V: 15.5 Å³ per atom
size of the total moment: 0.0 μB/cell
ΔE_f: 1.208 eV per atom
symmetry: P4/mmm (123)

Cell lengths 3.976, 4.913, 3.976 Å; angles 90.00, 90.00, 90.00 degrees
Fractional positions:
1 Ni 0.000 0.500 0.000
2 C 0.500 0.000 0.000
3 C 0.000 0.000 0.500
4 Sn 0.500 0.500 0.500
5 Re 0.000 0.000 0.000